(1)
Density functional theory data (PBE) for crystalline Ce4BiC2 at its relaxed geometry.

Cell lengths 3.9400, 6.5618, 13.1173 Å; angles 90.00, 90.00, 107.47 degrees
With the nearest neighbours (Å) after each atom.
Fractional coordinates of all 14 atoms:
1 Ce 0.7619 0.5238 0.1011  3 C 2.44-2.58
2 Ce 0.7619 0.5238 0.3989  3 C 2.44-2.58
3 Ce 0.2381 0.4762 0.8989  3 C 2.44-2.58
4 Ce 0.2381 0.4762 0.6011  3 C 2.44-2.58
5 Ce 0.8990 0.7980 0.7500  2 C 2.56
6 Ce 0.1010 0.2020 0.2500  2 C 2.56
7 Ce 0.5000 0.0000 0.0000  4 C 2.72
8 Ce 0.5000 0.0000 0.5000  4 C 2.72
9 Bi 0.5995 0.1990 0.7500  8 Ce 3.19-3.51
10 Bi 0.4005 0.8010 0.2500  8 Ce 3.19-3.51
11 C 0.1373 0.2745 0.4423  6 Ce 2.44-2.72
12 C 0.8627 0.7255 0.9423  6 Ce 2.44-2.72
13 C 0.1373 0.2745 0.0577  6 Ce 2.44-2.72
14 C 0.8627 0.7255 0.5577  6 Ce 2.44-2.72

Summary:
V in Å³/atom: 23.1
Space-group type: No. 63
DFT total energy in eV per formula unit: -48.10

(2)
Density functional theory data (PBE) for crystalline Ce2BiC at its relaxed geometry.

Cell lengths 4.6933, 7.4816, 11.1040 Å; angles 90.00, 90.00, 90.00 degrees
With the nearest neighbours (Å) after each atom.
Fractional coordinates of all 16 atoms:
1 Ce 0.0624 0.3865 0.7809  1 C 2.29
2 Ce 0.5624 0.6135 0.2191  1 C 2.29
3 Ce 0.5624 0.1135 0.2809  1 C 2.29
4 Ce 0.0624 0.8865 0.7191  1 C 2.29
5 Ce 0.5625 0.1469 0.9433  3 C 2.38-2.51
6 Ce 0.0625 0.8531 0.0567  3 C 2.38-2.51
7 Ce 0.0625 0.3531 0.4433  3 C 2.38-2.51
8 Ce 0.5625 0.6469 0.5567  3 C 2.38-2.51
9 Bi 0.0624 0.8486 0.3743  7 Ce 3.24-3.53, 1 C 3.40
10 Bi 0.5624 0.1514 0.6257  7 Ce 3.24-3.53, 1 C 3.40
11 Bi 0.5624 0.6514 0.8743  7 Ce 3.24-3.53, 1 C 3.40
12 Bi 0.0624 0.3486 0.1257  7 Ce 3.24-3.53, 1 C 3.40
13 C 0.0625 0.0559 0.8912  4 Ce 2.29-2.51
14 C 0.5625 0.9441 0.1088  4 Ce 2.29-2.51
15 C 0.5625 0.4441 0.3912  4 Ce 2.29-2.51
16 C 0.0625 0.5559 0.6088  4 Ce 2.29-2.51

Summary:
V in Å³/atom: 24.4
Space-group type: No. 62
DFT total energy in eV per formula unit: -26.79

(3)
Density functional theory data (PBE) for crystalline Ce3Bi2C at its relaxed geometry.

Cell lengths 6.5192, 7.7980, 7.6970 Å; angles 102.53, 115.05, 90.00 degrees
With the nearest neighbours (Å) after each atom.
Fractional coordinates of all 12 atoms:
1 Ce 0.4209 0.2500 0.0000  1 C 2.30
2 Ce 0.5791 0.7500 0.0000  1 C 2.30
3 Ce 0.0722 0.1105 0.2491  1 C 2.39
4 Ce 0.8231 0.3895 0.7509  1 C 2.39
5 Ce 0.1769 0.6105 0.2491  1 C 2.39
6 Ce 0.9278 0.8895 0.7509  1 C 2.39
7 Bi 0.7336 0.5605 0.3599  6 Ce 3.16-3.40, 1 Bi 3.48
8 Bi 0.6263 0.0605 0.3599  6 Ce 3.16-3.40, 1 Bi 3.48
9 Bi 0.3737 0.9395 0.6401  6 Ce 3.16-3.40, 1 Bi 3.48
10 Bi 0.2664 0.4395 0.6401  6 Ce 3.16-3.40, 1 Bi 3.48
11 C 0.9324 0.7500 0.0000  3 Ce 2.30-2.39
12 C 0.0676 0.2500 0.0000  3 Ce 2.30-2.39

Summary:
V in Å³/atom: 28.7
Space-group type: No. 15
DFT total energy in eV per formula unit: -37.24

(4)
Density functional theory data (PBE) for crystalline Ce4Bi2C at its relaxed geometry.

Cell lengths 4.9132, 4.9132, 9.0062 Å; angles 105.83, 105.83, 90.00 degrees
With the nearest neighbours (Å) after each atom.
Fractional coordinates of all 7 atoms:
1 C 0.0000 0.0000 0.0000  6 Ce 2.46-2.57
2 Bi 0.6437 0.6437 0.2874  9 Ce 3.35-3.48
3 Bi 0.3563 0.3563 0.7126  9 Ce 3.35-3.48
4 Ce 0.8455 0.8455 0.6911  1 C 2.57
5 Ce 0.1545 0.1545 0.3089  1 C 2.57
6 Ce 0.0000 0.5000 0.0000  2 C 2.46
7 Ce 0.5000 0.0000 0.0000  2 C 2.46

Summary:
ΔE to the lowest computed polymorph in eV/f.u.: 0.000
V in Å³/atom: 28.7
Space-group type: No. 139
DFT total energy in eV per formula unit: -44.60

(5)
Density functional theory data (PBE) for crystalline CeBiC at its relaxed geometry.

Cell lengths 4.3294, 4.5795, 8.8730 Å; angles 104.95, 104.12, 90.00 degrees
With the nearest neighbours (Å) after each atom.
Fractional coordinates of all 6 atoms:
1 Bi 0.6758 0.1758 0.3515  5 Ce 3.27-3.35
2 Bi 0.3242 0.8242 0.6485  5 Ce 3.27-3.35
3 C 0.6461 0.5000 0.0000  1 C 1.26
4 C 0.3539 0.5000 0.0000  1 C 1.26
5 Ce 0.1225 0.6225 0.2451  2 C 2.55
6 Ce 0.8775 0.3775 0.7549  2 C 2.55

Summary:
V in Å³/atom: 27.4
Space-group type: No. 71
DFT total energy in eV per formula unit: -19.01

(6)
Density functional theory data (PBE) for crystalline Ce6CoBi2C at its relaxed geometry.

Cell lengths 5.0103, 5.0103, 10.4500 Å; angles 90.00, 90.00, 90.00 degrees
With the nearest neighbours (Å) after each atom.
Fractional coordinates of all 10 atoms:
1 Ce 0.5000 0.0000 0.0000  2 Co 2.51
2 Ce 0.5000 0.0000 0.5000  2 C 2.51
3 Ce 0.0000 0.5000 0.0000  2 Co 2.51
4 Ce 0.0000 0.5000 0.5000  2 C 2.51
5 Ce 0.5000 0.5000 0.7326  1 C 2.43
6 Ce 0.5000 0.5000 0.2674  1 C 2.43
7 Co 0.5000 0.5000 0.0000  6 Ce 2.51-2.79
8 Bi 0.0000 0.0000 0.7459  12 Ce 3.55-3.65
9 Bi 0.0000 0.0000 0.2541  12 Ce 3.55-3.65
10 C 0.5000 0.5000 0.5000  6 Ce 2.43-2.51

Summary:
V in Å³/atom: 26.2
Space-group type: No. 123
DFT total energy in eV per formula unit: -63.96